This record from Alexandria via LeMat-Bulk describes LuScAlRe after structural relaxation. The functional is PBE.

## Properties
E = -6.947 eV/atom
D(E_F) = 0.554 states/eV/atom

Cell lengths 6.745, 6.745, 6.745 Å; angles 90.00, 90.00, 90.00 degrees
Sites, in units of the cell vectors:
Lu 0.000 0.000 0.000
Lu 0.000 0.500 0.500
Lu 0.500 0.000 0.500
Lu 0.500 0.500 0.000
Sc 0.000 0.000 0.500
Sc 0.000 0.500 0.000
Sc 0.500 0.000 0.000
Sc 0.500 0.500 0.500
Al 0.250 0.250 0.750
Al 0.250 0.750 0.250
Al 0.750 0.250 0.250
Al 0.750 0.750 0.750
Re 0.250 0.250 0.250
Re 0.250 0.750 0.750
Re 0.750 0.250 0.750
Re 0.750 0.750 0.250